Entry from the Alexandria database: an optimized crystal structure of TmNiHg (GGA-PBE).

POSCAR file:
```
TmNiHg
1.0
0.000 3.187 3.187
3.187 0.000 3.187
3.187 3.187 0.000
Tm Ni Hg
1 1 1
Direct
0.000 0.000 0.000
0.750 0.750 0.750
0.500 0.500 0.500
```

ΔE_f = -0.292 eV per atom
ρ = 10.98 g/cm3
total magnetic moment = 0.00 μB per formula unit

Entry from the Alexandria database: an optimized crystal structure of Tm6NiHg3 (GGA-PBE).

POSCAR file:
```
Tm6NiHg3
1.0
8.810 0.000 0.000
0.000 11.323 0.000
0.000 0.000 5.054
Tm Ni Hg
12 2 6
Direct
0.011 0.237 0.000
0.156 0.081 0.500
0.189 0.414 0.500
0.311 0.914 0.000
0.344 0.581 0.000
0.489 0.737 0.500
0.511 0.263 0.500
0.656 0.419 0.000
0.689 0.086 0.000
0.811 0.586 0.500
0.844 0.919 0.500
0.989 0.763 0.000
0.000 0.000 0.000
0.500 0.500 0.500
0.000 0.500 0.000
0.154 0.722 0.500
0.346 0.222 0.000
0.500 0.000 0.500
0.654 0.778 0.000
0.846 0.278 0.500
```

ΔE_f = -0.314 eV per atom
ρ = 11.03 g/cm3
total magnetic moment = 0.00 μB per formula unit

Entry from the Alexandria database: an optimized crystal structure of Tm5Ni2Hg (GGA-PBE).

POSCAR file:
```
Tm5Ni2Hg
1.0
-3.782 3.782 6.517
3.782 -3.782 6.517
3.782 3.782 -6.517
Tm Ni Hg
10 4 2
Direct
0.000 0.000 0.000
0.025 0.525 0.821
0.204 0.025 0.500
0.296 0.796 0.821
0.475 0.296 0.500
0.500 0.500 0.000
0.525 0.704 0.500
0.704 0.204 0.179
0.796 0.975 0.500
0.975 0.475 0.179
0.129 0.371 0.500
0.371 0.871 0.243
0.629 0.129 0.757
0.871 0.629 0.500
0.250 0.250 0.000
0.750 0.750 0.000
```

ΔE_f = -0.393 eV per atom
ρ = 10.36 g/cm3
total magnetic moment = 0.00 μB per formula unit

Entry from the Alexandria database: an optimized crystal structure of TmNiHg (GGA-PBE).

POSCAR file:
```
TmNiHg
1.0
12.738 0.000 0.000
0.000 3.725 0.000
0.000 0.000 7.454
Tm Ni Hg
6 6 6
Direct
0.049 0.000 0.230
0.250 0.000 0.836
0.451 0.000 0.230
0.549 0.000 0.770
0.750 0.000 0.164
0.951 0.000 0.770
0.087 0.500 0.942
0.250 0.000 0.440
0.413 0.500 0.942
0.587 0.500 0.058
0.750 0.000 0.560
0.913 0.500 0.058
0.115 0.500 0.574
0.250 0.500 0.178
0.385 0.500 0.574
0.615 0.500 0.426
0.750 0.500 0.822
0.885 0.500 0.426
```

ΔE_f = -0.428 eV per atom
ρ = 12.06 g/cm3
total magnetic moment = 0.00 μB per formula unit

Entry from the Alexandria database: an optimized crystal structure of Tm12Ni2Hg5 (GGA-PBE).

POSCAR file:
```
Tm12Ni2Hg5
1.0
7.932 -3.720 0.000
7.932 3.720 0.000
-1.408 0.000 9.005
Tm Ni Hg
12 2 5
Direct
0.012 0.012 0.262
0.090 0.578 0.887
0.100 0.617 0.435
0.383 0.900 0.565
0.422 0.910 0.113
0.466 0.466 0.164
0.534 0.534 0.836
0.578 0.090 0.887
0.617 0.100 0.435
0.900 0.383 0.565
0.910 0.422 0.113
0.988 0.988 0.738
0.194 0.806 0.000
0.806 0.194 0.000
0.175 0.175 0.851
0.216 0.216 0.360
0.500 0.500 0.500
0.784 0.784 0.640
0.825 0.825 0.149
```

ΔE_f = -0.173 eV per atom
ρ = 9.83 g/cm3
total magnetic moment = 0.00 μB per formula unit

Entry from the Alexandria database: an optimized crystal structure of Tm3Ni4Hg (GGA-PBE).

POSCAR file:
```
Tm3Ni4Hg
1.0
-1.836 2.946 7.226
1.836 -2.946 7.226
1.836 2.946 -7.226
Tm Ni Hg
3 4 1
Direct
0.000 0.000 0.000
0.308 0.808 0.500
0.692 0.192 0.500
0.064 0.371 0.693
0.322 0.629 0.693
0.678 0.371 0.307
0.936 0.629 0.307
0.500 0.500 0.000
```

ΔE_f = -0.267 eV per atom
ρ = 10.01 g/cm3
total magnetic moment = 0.00 μB per formula unit

Entry from the Alexandria database: an optimized crystal structure of Tm12NiHg6 (GGA-PBE).

POSCAR file:
```
Tm12NiHg6
1.0
5.903 3.408 4.350
-5.903 3.408 4.350
0.000 -6.816 4.350
Tm Ni Hg
12 1 6
Direct
0.043 0.703 0.924
0.076 0.957 0.297
0.191 0.535 0.408
0.297 0.076 0.957
0.408 0.191 0.535
0.465 0.592 0.809
0.535 0.408 0.191
0.592 0.809 0.465
0.703 0.924 0.043
0.809 0.465 0.592
0.924 0.043 0.703
0.957 0.297 0.076
0.500 0.500 0.500
0.143 0.363 0.761
0.239 0.857 0.637
0.363 0.761 0.143
0.637 0.239 0.857
0.761 0.143 0.363
0.857 0.637 0.239
```

ΔE_f = -0.230 eV per atom
ρ = 10.41 g/cm3
total magnetic moment = 0.00 μB per formula unit

Entry from the Alexandria database: an optimized crystal structure of Tm4NiHg2 (GGA-PBE).

POSCAR file:
```
Tm4NiHg2
1.0
7.879 0.000 0.000
0.000 12.408 0.000
0.000 0.000 3.861
Tm Ni Hg
8 2 4
Direct
0.125 0.196 0.000
0.220 0.946 0.500
0.280 0.446 0.500
0.375 0.696 0.000
0.625 0.304 0.000
0.720 0.554 0.500
0.780 0.054 0.500
0.875 0.804 0.000
0.000 0.000 0.000
0.500 0.500 0.000
0.079 0.663 0.500
0.421 0.163 0.500
0.579 0.837 0.500
0.921 0.337 0.500
```

ΔE_f = -0.288 eV per atom
ρ = 9.99 g/cm3
total magnetic moment = 0.00 μB per formula unit

Entry from the Alexandria database: an optimized crystal structure of TmNiHg (GGA-PBE).

POSCAR file:
```
TmNiHg
1.0
-1.769 1.769 4.647
1.769 -1.769 4.647
1.769 1.769 -4.647
Tm Ni Hg
1 1 1
Direct
0.000 0.000 0.000
0.353 0.353 0.000
0.688 0.688 0.000
```

ΔE_f = -0.337 eV per atom
ρ = 12.22 g/cm3
total magnetic moment = 0.00 μB per formula unit

Entry from the Alexandria database: an optimized crystal structure of Tm8Ni2Hg (GGA-PBE).

POSCAR file:
```
Tm8Ni2Hg
1.0
4.205 -6.508 0.000
4.205 6.508 0.000
-1.320 0.000 5.147
Tm Ni Hg
8 2 1
Direct
0.075 0.334 0.584
0.243 0.757 0.000
0.334 0.075 0.584
0.384 0.384 0.194
0.616 0.616 0.806
0.666 0.925 0.416
0.757 0.243 0.000
0.925 0.666 0.416
0.306 0.694 0.500
0.694 0.306 0.500
0.000 0.000 0.000
```

ΔE_f = -0.178 eV per atom
ρ = 9.84 g/cm3
total magnetic moment = 0.00 μB per formula unit